{"formula": "ZnGaCuRe", "functional": "PBE", "state": "optimized geometry", "cell": [[6.0659, 0.0000, 0.0000], [0.0000, 6.0659, 0.0000], [0.0000, 0.0000, 6.0659]], "species": ["Zn", "Zn", "Zn", "Zn", "Ga", "Ga", "Ga", "Ga", "Cu", "Cu", "Cu", "Cu", "Re", "Re", "Re", "Re"], "frac_coords": [[0.0000, 0.0000, 0.0000], [0.0000, 0.5000, 0.5000], [0.5000, 0.0000, 0.5000], [0.5000, 0.5000, 0.0000], [0.0000, 0.0000, 0.5000], [0.0000, 0.5000, 0.0000], [0.5000, 0.0000, 0.0000], [0.5000, 0.5000, 0.5000], [0.2500, 0.2500, 0.7500], [0.2500, 0.7500, 0.2500], [0.7500, 0.2500, 0.2500], [0.7500, 0.7500, 0.7500], [0.2500, 0.2500, 0.2500], [0.2500, 0.7500, 0.7500], [0.7500, 0.2500, 0.7500], [0.7500, 0.7500, 0.2500]], "e_above_lowest_polymorph_mev_per_atom": 0, "crystal_system": "cubic", "vol_a3_per_cell": 223.2}